(1)
## LiCdIrRu2 (GGA-PBE)

Data for a relaxed structure of LiCdIrRu2.

Cell and atoms, written as POSCAR:
```
LiCdIrRu2
1.0
4.7099 0.0000 0.0000
0.0000 5.1742 0.0000
0.0000 0.0000 4.7099
Ru Ir Li Cd
2 1 1 1
direct
0.0000 0.0000 0.5000
0.5000 0.0000 0.0000
0.0000 0.0000 0.0000
0.5000 0.5000 0.5000
0.0000 0.5000 0.0000
```

Calculated values
V   114.8 Å³/cell
Magnetic moment   0.2 μB per cell
E_form   1108.5 meV per atom
Fermi-level density of states   0.88 states/eV per atom

---

(2)
## LiScCdIr2 (GGA-PBE)

Data for a relaxed structure of LiScCdIr2.

Cell and atoms, written as POSCAR:
```
LiScCdIr2
1.0
-3.0769 -1.4330 -2.7528
1.1083 -3.9880 0.8373
-2.8838 -0.1124 3.2818
Sc Ir Li Cd
1 2 1 1
direct
0.5000 0.5000 0.5000
0.0000 0.0000 0.5000
0.5000 0.0000 0.0000
0.0000 0.0000 0.0000
0.0000 0.5000 0.0000
```

Calculated values
V   80.7 Å³/cell
Magnetic moment   0.0 μB per cell
E_form   122.5 meV per atom
Fermi-level density of states   0.20 states/eV per atom

---

(3)
## Li2CdSnIr (GGA-PBE)

Data for a relaxed structure of Li2CdSnIr.

Cell and atoms, written as POSCAR:
```
Li2CdSnIr
1.0
4.8024 0.0000 0.0000
0.0000 5.0501 0.0000
0.0000 0.0000 4.8024
Ir Li Sn Cd
1 2 1 1
direct
0.0000 0.0000 0.0000
0.0000 0.0000 0.5000
0.5000 0.0000 0.0000
0.0000 0.5000 0.0000
0.5000 0.5000 0.5000
```

Calculated values
V   116.5 Å³/cell
Magnetic moment   0.0 μB per cell
E_form   73.9 meV per atom
Fermi-level density of states   0.43 states/eV per atom

---

(4)
## LiCdSnIr2 (GGA-PBE)

Data for a relaxed structure of LiCdSnIr2.

Cell and atoms, written as POSCAR:
```
LiCdSnIr2
1.0
4.9447 0.0000 0.0000
0.0000 4.9447 0.0000
0.0000 0.0000 5.2755
Ir Li Sn Cd
2 1 1 1
direct
0.0000 0.5000 0.0000
0.5000 0.0000 0.0000
0.5000 0.5000 0.5000
0.0000 0.0000 0.0000
0.0000 0.0000 0.5000
```

Calculated values
V   129.0 Å³/cell
Magnetic moment   0.0 μB per cell
E_form   1070.6 meV per atom
Fermi-level density of states   0.72 states/eV per atom

---

(5)
## LiTbCdIr (GGA-PBE)

Data for a relaxed structure of LiTbCdIr.

Cell and atoms, written as POSCAR:
```
LiTbCdIr
1.0
4.7782 0.0000 0.0000
2.3891 4.1380 0.0000
2.3891 1.3793 3.9014
Ir Tb Li Cd
1 1 1 1
direct
0.2500 0.2500 0.2500
0.0000 0.0000 0.0000
0.7500 0.7500 0.7500
0.5000 0.5000 0.5000
```

Calculated values
V   77.1 Å³/cell
Magnetic moment   0.0 μB per cell
E_form   -391.9 meV per atom
Fermi-level density of states   0.48 states/eV per atom

---

(6)
## LiThCdIr (GGA-PBE)

Data for a relaxed structure of LiThCdIr.

Cell and atoms, written as POSCAR:
```
LiThCdIr
1.0
4.8696 0.0000 0.0000
2.4348 4.2172 0.0000
2.4348 1.4057 3.9760
Ir Li Th Cd
1 1 1 1
direct
0.2500 0.2500 0.2500
0.7500 0.7500 0.7500
0.5000 0.5000 0.5000
0.0000 0.0000 0.0000
```

Calculated values
V   81.7 Å³/cell
Magnetic moment   0.0 μB per cell
E_form   -360.5 meV per atom
Fermi-level density of states   0.85 states/eV per atom